# Y2AlCoIr PBE optimized geometry
data_Y2AlCoIr
_cell_length_a 5.5049
_cell_length_b 5.5049
_cell_length_c 5.5049
_cell_angle_alpha 136.61
_cell_angle_beta 78.60
_cell_angle_gamma 118.09
_symmetry_space_group_name_H-M 'P 1'
_symmetry_Int_Tables_number 1
_symmetry_space_group_name_Hall 'P 1'
loop_
_atom_site_label
_atom_site_fract_x
_atom_site_fract_y
_atom_site_fract_z
Al1 0.0103 0.0103 0.0000
Co1 0.2628 0.7628 0.5000
Ir1 0.7280 0.2280 0.5000
Y1 0.7010 0.4995 0.2015
Y2 0.2980 0.4995 0.7985
# M_tot: 0.0 Bohr magnetons per cell
# DFT total energy: -7.19 eV/atom
# symmetry: Imm2